1.
VASP calculation (GGA-PBE) on a relaxed structure of Ba2TmPu3O12.

Calculated values
E_form (uncorrected) = -50.51 eV/f.u.
calculated total energy = -161.322 eV/cell
magnetization = 7.00 μB/f.u.
volume = 349.5 Å³/f.u.
density = 6.497 g/cm3

abc: 7.758 7.758 7.758
angles: 62.63 62.63 62.63
Atoms (fractional coordinates):
Ba  0.185  0.185  0.185
Ba  0.815  0.815  0.815
Tm  0.500  0.500  0.500
Pu  0.000  0.500  0.500
Pu  0.500  0.000  0.500
Pu  0.500  0.500  0.000
O  0.166  0.574  0.574
O  0.186  0.186  0.539
O  0.186  0.539  0.186
O  0.426  0.426  0.834
O  0.426  0.834  0.426
O  0.461  0.814  0.814
O  0.539  0.186  0.186
O  0.574  0.166  0.574
O  0.574  0.574  0.166
O  0.814  0.461  0.814
O  0.814  0.814  0.461
O  0.834  0.426  0.426

=====

2.
VASP calculation (GGA-PBE) on a relaxed structure of BaPu2UO8.

Calculated values
E_form (uncorrected) = -35.79 eV/f.u.
calculated total energy = -117.335 eV/cell
magnetization = 8.05 μB/f.u.
volume = 202.4 Å³/f.u.
density = 8.133 g/cm3

abc: 5.297 5.297 7.217
angles: 90.00 90.00 91.35
Atoms (fractional coordinates):
Ba  0.000  0.000  0.000
Pu  0.500  0.500  0.254
Pu  0.500  0.500  0.746
U  0.000  0.000  0.500
O  0.193  0.193  0.300
O  0.193  0.193  0.700
O  0.310  0.690  0.500
O  0.339  0.661  0.000
O  0.661  0.339  0.000
O  0.690  0.310  0.500
O  0.807  0.807  0.300
O  0.807  0.807  0.700

=====

3.
VASP calculation (GGA-PBE) on a relaxed structure of Ba3PuU2O9.

Calculated values
E_form (uncorrected) = -45.73 eV/f.u.
calculated total energy = -133.032 eV/cell
magnetization = 8.00 μB/f.u.
volume = 264.6 Å³/f.u.
density = 8.007 g/cm3

abc: 6.295 6.295 7.711
angles: 90.00 90.00 120.00
Atoms (fractional coordinates):
Ba  0.000  0.000  0.000
Ba  0.333  0.667  0.660
Ba  0.667  0.333  0.340
Pu  0.000  0.000  0.500
U  0.333  0.667  0.167
U  0.667  0.333  0.833
O  0.000  0.500  0.000
O  0.171  0.342  0.328
O  0.171  0.829  0.328
O  0.342  0.171  0.672
O  0.500  0.000  0.000
O  0.500  0.500  0.000
O  0.658  0.829  0.328
O  0.829  0.171  0.672
O  0.829  0.658  0.672

=====

4.
VASP calculation (GGA-PBE) on a relaxed structure of Ba4Pu3UO12.

Calculated values
E_form (uncorrected) = -60.41 eV/f.u.
calculated total energy = -181.886 eV/cell
magnetization = 14.00 μB/f.u.
volume = 347.7 Å³/f.u.
density = 8.173 g/cm3

abc: 7.672 7.672 7.672
angles: 109.47 109.47 109.47
Atoms (fractional coordinates):
Ba  0.000  0.000  0.500
Ba  0.000  0.500  0.000
Ba  0.500  0.000  0.000
Ba  0.500  0.500  0.500
Pu  0.000  0.500  0.500
Pu  0.500  0.000  0.500
Pu  0.500  0.500  0.000
U  0.000  0.000  0.000
O  0.000  0.244  0.244
O  0.000  0.756  0.756
O  0.244  0.000  0.244
O  0.244  0.244  0.000
O  0.250  0.500  0.750
O  0.250  0.750  0.500
O  0.500  0.250  0.750
O  0.500  0.750  0.250
O  0.750  0.250  0.500
O  0.750  0.500  0.250
O  0.756  0.000  0.756
O  0.756  0.756  0.000